A geometry-optimized Dy2VGa6 structure. Source: the Alexandria database, functional PBE-GGA. Values from VASP.

Cell and atoms, written as Quantum ESPRESSO input:
```
&SYSTEM
  ibrav = 0, nat = 9, ntyp = 3
/
ATOMIC_SPECIES
Ga 69.72 Ga.upf
V 50.94 V.upf
Dy 162.50 Dy.upf
CELL_PARAMETERS angstrom
-2.101 -4.186 -3.123
4.777 -3.244 1.132
0.101 -3.552 4.690
ATOMIC_POSITIONS angstrom
Ga 1.671 -5.583 -0.572
Ga -0.572 -4.062 -1.103
Ga 3.302 -5.254 1.600
Ga 3.349 -6.919 3.801
Ga 1.106 -5.399 3.271
Ga -0.525 -5.727 1.099
V 0.000 0.000 0.000
Dy 1.269 -2.978 1.409
Dy 1.508 -8.003 1.289
```

Values from the calculation:
Density of states at the Fermi level: 4.1 states/eV per cell
Formation enthalpy at 0 K: -0.445 eV/atom
V: 18.752 Å³ per atom
M_tot: 0.52 μB/f.u.